Below is a relaxed Pu2Be3Si4Os crystal, with properties calculated at the PBE level.

Computed properties:
raw formation energy = -0.35 eV per atom

```
data_Pu2Be3Si4Os
_chemical_formula_sum 'Pu2 Be3 Si4 Os1'
_space_group_name_H-M_alt 'P -4 m 2'
_space_group_IT_number 115
_space_group_name_Hall 'P -4 -2'
_cell_length_a 3.917
_cell_length_b 3.917
_cell_length_c 9.727
_cell_angle_alpha 90.00
_cell_angle_beta 90.00
_cell_angle_gamma 90.00
loop_
_atom_site_label
_atom_site_fract_x
_atom_site_fract_y
_atom_site_fract_z
Pu1 0.000 0.500 0.238
Be1 0.000 0.500 0.873
Be2 0.500 0.500 0.500
Si1 0.000 0.000 0.000
Si2 0.000 0.500 0.640
Si3 0.500 0.500 0.000
Os1 0.000 0.000 0.500
```

Below is a relaxed Y2TaRu crystal, with properties calculated at the PBE level.

Computed properties:
energy above the lowest structure with this stoichiometry = 0.480 eV per atom
energy of formation from the pure elements = 8.55 kcal/mol of atoms

```
data_Y2TaRu
_chemical_formula_sum 'Y2 Ta1 Ru1'
_space_group_name_H-M_alt 'P 4/m m m'
_space_group_IT_number 123
_space_group_name_Hall '-P 4 2'
_cell_length_a 4.282
_cell_length_b 4.282
_cell_length_c 4.699
_cell_angle_alpha 90.00
_cell_angle_beta 90.00
_cell_angle_gamma 90.00
loop_
_atom_site_label
_atom_site_fract_x
_atom_site_fract_y
_atom_site_fract_z
Y1 0.000 0.500 0.000
Ta1 0.000 0.000 0.500
Ru1 0.500 0.500 0.500
```

Below is a relaxed Li3Dy3US8 crystal, with properties calculated at the PBE level.

Computed properties:
raw formation energy = -1.73 eV per atom

```
data_Li3Dy3US8
_chemical_formula_sum 'Li9 Dy9 U3 S24'
_space_group_name_H-M_alt 'R -3 m'
_space_group_IT_number 166
_space_group_name_Hall '-R 3 2"'
_cell_length_a 7.8798
_cell_length_b 7.8798
_cell_length_c 18.5029
_cell_angle_alpha 90.00
_cell_angle_beta 90.00
_cell_angle_gamma 120.00
loop_
_atom_site_label
_atom_site_fract_x
_atom_site_fract_y
_atom_site_fract_z
Li1 0.0000 0.5000 0.0000
Dy1 0.0000 0.5000 0.5000
U1 0.0000 0.0000 0.5000
S1 0.0000 0.0000 0.2499
S2 0.0067 0.5033 0.2478
```

Below is a relaxed HfZnIr crystal, with properties calculated at the PBE level.

Computed properties:
energy of formation from the pure elements = -12.65 kcal/mol of atoms

```
data_HfZnIr
_chemical_formula_sum 'Hf1 Zn1 Ir1'
_space_group_name_H-M_alt 'P 3 m 1'
_space_group_IT_number 156
_space_group_name_Hall 'P 3 -2"'
_cell_length_a 4.3975
_cell_length_b 4.3975
_cell_length_c 2.9952
_cell_angle_alpha 90.00
_cell_angle_beta 90.00
_cell_angle_gamma 120.00
loop_
_atom_site_label
_atom_site_fract_x
_atom_site_fract_y
_atom_site_fract_z
Hf1 0.0000 0.0000 0.0000
Zn1 0.3333 0.6667 0.4936
Ir1 0.6667 0.3333 0.4331
```

Below is a relaxed SmHoMg2 crystal, with properties calculated at the PBE level.

Computed properties:
energy above the lowest structure with this stoichiometry = 0.005 eV per atom
energy of formation from the pure elements = -2.02 kcal/mol of atoms

```
data_SmHoMg2
_chemical_formula_sum 'Sm1 Ho1 Mg2'
_space_group_name_H-M_alt 'P 4/m m m'
_space_group_IT_number 123
_space_group_name_Hall '-P 4 2'
_cell_length_a 5.373
_cell_length_b 5.373
_cell_length_c 3.830
_cell_angle_alpha 90.00
_cell_angle_beta 90.00
_cell_angle_gamma 90.00
loop_
_atom_site_label
_atom_site_fract_x
_atom_site_fract_y
_atom_site_fract_z
Sm1 0.000 0.000 0.000
Ho1 0.500 0.500 0.000
Mg1 0.000 0.500 0.500
```

Below is a relaxed Ac4PrPt5 crystal, with properties calculated at the PBE level.

Computed properties:
energy of formation from the pure elements = -26.33 kcal/mol of atoms

```
data_Ac4PrPt5
_chemical_formula_sum 'Ac8 Pr2 Pt10'
_space_group_name_H-M_alt 'I 4/m'
_space_group_IT_number 87
_space_group_name_Hall '-I 4'
_cell_length_a 9.752
_cell_length_b 9.752
_cell_length_c 6.164
_cell_angle_alpha 90.00
_cell_angle_beta 90.00
_cell_angle_gamma 90.00
loop_
_atom_site_label
_atom_site_fract_x
_atom_site_fract_y
_atom_site_fract_z
Ac1 0.099 0.299 0.000
Pr1 0.000 0.000 0.500
Pt1 0.000 0.000 0.000
Pt2 0.098 0.295 0.500
```

no.,calculated total energy (eV per atom)
1,-7.629
2,-8.143
3,-5.987
4,-7.245
5,-3.209
6,-6.283